Entry 1:
Mn2ZnAg: optimized geometry, GGA-PBE.

Properties
* energy of formation: 0.237 eV per atom

Cell lengths 4.7516, 4.7516, 2.8375 Å; angles 90.00, 90.00, 107.71 degrees
Last column: nearest neighbours and their distance in Å.
Atoms (fractional coordinates):
Mn  0.0000  0.5000  0.0000  4 Ag 2.77, 4 Zn 2.77, 4 Mn 2.80-2.84
Mn  0.5000  0.0000  0.0000  4 Ag 2.77, 4 Zn 2.77, 4 Mn 2.80-2.84
Zn  0.0000  0.0000  0.5000  8 Mn 2.77, 2 Ag 2.80, 2 Zn 2.84
Ag  0.5000  0.5000  0.5000  8 Mn 2.77, 2 Zn 2.80, 2 Ag 2.84

Entry 2:
InSnTeF2: optimized geometry, GGA-PBE.

Properties
* formation energy (no corrections): -1313.1 meV per atom

Cell lengths 4.5607, 4.5607, 6.2178 Å; angles 90.00, 90.00, 90.00 degrees
Last column: nearest neighbours and their distance in Å.
Atoms (fractional coordinates):
In  0.0000  0.0000  0.0000  4 Te 3.22
Sn  0.5000  0.5000  0.5000  4 F 2.28
Te  0.5000  0.5000  0.0000  2 Sn 3.11, 4 In 3.22
F  0.0000  0.5000  0.5000  2 Sn 2.28
F  0.5000  0.0000  0.5000  2 Sn 2.28

Entry 3:
Pr2SnBi4: optimized geometry, GGA-PBE.

Properties
* excess energy over the best structure of this formula in the dataset: 0.000 eV/atom
* energy of formation: -0.497 eV per atom

Cell lengths 4.5866, 4.5866, 11.3036 Å; angles 90.00, 90.00, 90.00 degrees
Last column: nearest neighbours and their distance in Å.
Atoms (fractional coordinates):
Pr  0.0000  0.5000  0.2271  8 Bi 3.36-3.44
Pr  0.5000  0.0000  0.7729  8 Bi 3.36-3.44
Sn  0.0000  0.0000  0.5000  4 Bi 3.17
Bi  0.0000  0.0000  0.0000  4 Bi 3.24, 4 Pr 3.44
Bi  0.0000  0.5000  0.6938  2 Sn 3.17, 4 Pr 3.36
Bi  0.5000  0.0000  0.3062  2 Sn 3.17, 4 Pr 3.36
Bi  0.5000  0.5000  0.0000  4 Bi 3.24, 4 Pr 3.44

| no. | theoretical density (Mg/m³) | total moment (μB per cell) | VASP energy (eV per cell) |
| --- | --- | --- | --- |
| 1 | 7.7 | 7.14 | -21.52 |
| 2 | 5.1 | 0.00 | -20.19 |
| 3 | 8.6 | 0.00 | -32.56 |